# 1
NpPa2Be: relaxed, PBE.

Unit cell a=3.006 b=3.006 c=31.216 alpha=90.00 beta=90.00 gamma=120.00
Positions (direct):
Np 0.000 0.000 0.000
Np 0.333 0.667 0.667
Np 0.667 0.333 0.333
Pa 0.000 0.000 0.093
Pa 0.000 0.000 0.907
Pa 0.333 0.667 0.574
Pa 0.333 0.667 0.760
Pa 0.667 0.333 0.240
Pa 0.667 0.333 0.426
Be 0.000 0.000 0.500
Be 0.333 0.667 0.167
Be 0.667 0.333 0.833


# 2
V3ZnPb: relaxed, PBE.

Calculated values
energy relative to the lowest polymorph listed for this composition: 15.179 kcal/mol of atoms

Unit cell a=5.220 b=5.220 c=5.220 alpha=90.00 beta=90.00 gamma=90.00
Positions (direct):
V 0.000 0.000 0.500
V 0.000 0.500 0.000
V 0.500 0.000 0.000
Zn 0.500 0.500 0.500
Pb 0.000 0.000 0.000


VASP energy across the listed records, respectively: -8.424, -4.748 eV per atom.
Calculated formation energy across the listed records, respectively: 0.491, 1.720 eV per atom.
Volume across the listed records, respectively: 20.4, 28.5 Å³ per atom.